A relaxed structure of LaIn2Pb. Source: Alexandria, functional GGA-PBEsol.

The structure in POSCAR format:
```
LaIn2Pb
1.0
4.932 0.000 0.000
0.000 4.660 0.000
0.000 0.000 4.660
Pb In La
1 2 1
Direct
0.500 0.000 0.000
0.000 0.000 0.500
0.000 0.500 0.000
0.500 0.500 0.500
```

## Properties
The space group is P4/mmm. The formation enthalpy at 0 K comes out at -514 meV/atom.

=====

A relaxed structure of La2InPb. Source: Alexandria, functional GGA-PBEsol.

The structure in POSCAR format:
```
La2InPb
1.0
3.607 0.000 0.000
0.000 4.516 0.000
0.000 0.000 7.234
Pb In La
1 1 2
Direct
0.500 0.500 0.000
0.500 0.500 0.500
0.000 0.000 0.746
0.000 0.000 0.254
```

## Properties
The space group is Pmmm. The formation enthalpy at 0 K comes out at -575 meV/atom.

=====

A relaxed structure of LaIn2Pb. Source: Alexandria, functional GGA-PBEsol.

The structure in POSCAR format:
```
LaIn2Pb
1.0
4.621 0.000 0.000
0.000 4.627 0.000
-2.311 -2.313 5.086
Pb In La
1 2 1
Direct
0.249 0.749 0.499
0.005 0.005 0.010
0.748 0.248 0.497
0.497 0.497 0.994
```

## Properties
The space group is Imm2. The formation enthalpy at 0 K comes out at -427 meV/atom.

=====

A relaxed structure of La2InPb2. Source: Alexandria, functional GGA-PBEsol.

The structure in POSCAR format:
```
La2InPb2
1.0
-3.199 1.890 -2.827
-5.054 -6.073 1.659
-3.005 4.196 6.208
Pb In La
4 2 4
Direct
0.000 0.368 0.868
0.000 0.868 0.632
0.000 0.632 0.132
0.000 0.132 0.368
0.000 0.000 0.000
0.000 0.500 0.500
0.500 0.174 0.674
0.500 0.674 0.826
0.500 0.826 0.326
0.500 0.326 0.174
```

## Properties
The space group is P4/mbm. The formation enthalpy at 0 K comes out at -551 meV/atom.

=====

A relaxed structure of LaIn2Pb. Source: Alexandria, functional GGA-PBEsol.

The structure in POSCAR format:
```
LaIn2Pb
1.0
-1.356 3.065 2.063
-3.690 -1.228 -0.600
0.321 -3.897 6.001
In La Pb
2 1 1
Direct
0.000 0.000 0.722
0.000 0.000 0.278
0.500 0.500 0.000
0.500 0.500 0.500
```

## Properties
The space group is P4/mmm. The formation enthalpy at 0 K comes out at -301 meV/atom.

=====

A relaxed structure of La2InPb. Source: Alexandria, functional GGA-PBEsol.

The structure in POSCAR format:
```
La2InPb
1.0
-0.352 -4.070 -1.148
0.999 -1.200 3.946
-6.432 0.089 1.655
In La Pb
1 2 1
Direct
0.500 0.500 0.745
0.000 0.000 0.996
0.500 0.500 0.253
0.000 0.000 0.506
```

## Properties
The space group is P4mm. The formation enthalpy at 0 K comes out at -278 meV/atom.

=====

A relaxed structure of La2InPb. Source: Alexandria, functional GGA-PBEsol.

The structure in POSCAR format:
```
La2InPb
1.0
4.687 0.000 0.000
0.000 4.687 0.000
-2.344 -2.344 5.327
Pb In La
1 1 2
Direct
0.500 0.500 0.000
0.250 0.750 0.500
0.000 0.000 0.000
0.750 0.250 0.500
```

## Properties
The space group is I-4m2. The formation enthalpy at 0 K comes out at -537 meV/atom.

=====

A relaxed structure of La2InPb. Source: Alexandria, functional GGA-PBEsol.

The structure in POSCAR format:
```
La2InPb
1.0
-3.111 1.240 -1.486
-0.826 -3.395 -1.103
-4.392 -1.510 7.932
In La Pb
1 2 1
Direct
0.500 0.500 0.729
0.000 0.000 0.963
0.500 0.500 0.279
0.000 0.000 0.529
```

## Properties
The space group is P4mm. The formation enthalpy at 0 K comes out at -206 meV/atom.

=====

A relaxed structure of La2InPb. Source: Alexandria, functional GGA-PBEsol.

The structure in POSCAR format:
```
La2InPb
1.0
3.576 0.000 0.000
0.000 3.576 0.000
0.000 0.000 9.175
Pb In La
1 1 2
Direct
0.500 0.500 0.000
0.500 0.500 0.500
0.000 0.000 0.747
0.000 0.000 0.253
```

## Properties
The space group is P4/mmm. The formation enthalpy at 0 K comes out at -568 meV/atom.

=====

A relaxed structure of La2InPb. Source: Alexandria, functional GGA-PBEsol.

The structure in POSCAR format:
```
La2InPb
1.0
-0.876 -2.896 -1.661
-1.965 -2.289 5.027
-5.319 2.222 -1.068
Pb In La
1 1 2
Direct
0.500 0.000 0.625
0.500 0.500 0.125
0.000 0.000 0.125
0.000 0.500 0.625
```

## Properties
The space group is P4/mmm. The formation enthalpy at 0 K comes out at -543 meV/atom.

=====

A relaxed structure of La2InPb. Source: Alexandria, functional GGA-PBEsol.

The structure in POSCAR format:
```
La2InPb
1.0
-1.025 1.535 4.714
-3.758 -3.791 -2.301
4.397 -1.942 1.588
Pb In La
1 1 2
Direct
0.000 0.000 0.000
0.500 0.000 0.500
0.750 0.500 0.250
0.250 0.500 0.750
```

## Properties
The space group is I4/mmm. The formation enthalpy at 0 K comes out at -576 meV/atom.

=====

A relaxed structure of La2InPb. Source: Alexandria, functional GGA-PBEsol.

The structure in POSCAR format:
```
La2InPb
1.0
-0.302 1.544 3.201
5.004 -2.457 1.656
1.704 5.069 -2.284
Pb In La
1 1 2
Direct
0.500 0.000 0.000
0.500 0.500 0.500
0.000 0.500 0.000
0.000 0.000 0.500
```

## Properties
The space group is Cmmm. The formation enthalpy at 0 K comes out at -576 meV/atom.

=====

A relaxed structure of LaInPb. Source: Alexandria, functional GGA-PBEsol.

The structure in POSCAR format:
```
LaInPb
1.0
-2.740 3.427 -1.009
-3.768 -2.911 0.343
1.545 2.367 3.847
Pb La In
1 1 1
Direct
0.279 0.667 0.333
0.678 0.333 0.667
0.044 0.000 0.000
```

## Properties
The space group is P3m1. The formation enthalpy at 0 K comes out at -496 meV/atom.

=====

A relaxed structure of LaInPb. Source: Alexandria, functional GGA-PBEsol.

The structure in POSCAR format:
```
LaInPb
1.0
5.170 0.000 0.000
2.585 4.477 0.000
2.585 1.492 4.221
In La Pb
1 1 1
Direct
0.000 0.000 0.000
0.500 0.500 0.500
0.250 0.250 0.250
```

## Properties
The space group is F-43m. The formation enthalpy at 0 K comes out at -191 meV/atom.

=====

A relaxed structure of La2InPd2. Source: Alexandria, functional GGA-PBEsol.

The structure in POSCAR format:
```
La2InPd2
1.0
-0.928 -3.126 -1.988
3.476 -1.444 0.648
-4.204 -1.489 7.972
In Pd La
1 2 2
Direct
0.000 0.000 0.000
0.250 0.750 0.500
0.750 0.250 0.500
0.378 0.378 0.757
0.622 0.622 0.243
```

## Properties
The space group is I4/mmm. The formation enthalpy at 0 K comes out at -528 meV/atom.

=====

A relaxed structure of La2InPd2. Source: Alexandria, functional GGA-PBEsol.

The structure in POSCAR format:
```
La2InPd2
1.0
-2.920 -0.721 -2.543
4.384 -5.359 -3.515
-2.817 -5.436 4.775
In Pd La
2 4 4
Direct
0.000 0.000 0.000
0.000 0.500 0.500
0.000 0.372 0.872
0.000 0.872 0.628
0.000 0.628 0.128
0.000 0.128 0.372
0.500 0.175 0.675
0.500 0.675 0.825
0.500 0.825 0.325
0.500 0.325 0.175
```

## Properties
The space group is P4/mbm. The formation enthalpy at 0 K comes out at -821 meV/atom.

=====

A relaxed structure of LaInSnPd2. Source: Alexandria, functional GGA-PBEsol.

The structure in POSCAR format:
```
LaInSnPd2
1.0
-2.999 3.798 1.031
-3.830 -2.518 -1.863
-1.064 -2.265 5.247
In Sn Pd La
1 1 2 1
Direct
0.500 0.500 0.500
0.000 0.000 0.000
0.000 0.500 0.000
0.500 0.000 0.000
0.000 0.000 0.500
```

## Properties
The space group is P4/mmm. The formation enthalpy at 0 K comes out at 260 meV/atom.

=====

A relaxed structure of LaPrIn2. Source: Alexandria, functional GGA-PBEsol.

The structure in POSCAR format:
```
LaPrIn2
1.0
-0.681 5.237 -1.410
-5.008 2.189 -0.045
-1.405 3.688 3.781
Pr La In
1 1 2
Direct
0.000 0.000 0.000
0.500 0.500 0.500
0.750 0.750 0.750
0.250 0.250 0.250
```

## Properties
The space group is Fm-3m. The formation enthalpy at 0 K comes out at -530 meV/atom.

=====

A relaxed structure of LaIn2Pt. Source: Alexandria, functional GGA-PBEsol.

The structure in POSCAR format:
```
LaIn2Pt
1.0
-1.345 -1.280 4.398
1.732 -4.295 -0.720
4.427 1.777 0.053
In La Pt
2 1 1
Direct
0.816 0.000 0.684
0.184 0.000 0.316
0.500 0.500 0.000
0.000 0.500 0.500
```

## Properties
The space group is Cmmm. The formation enthalpy at 0 K comes out at -671 meV/atom.

=====

A relaxed structure of La2InPt. Source: Alexandria, functional GGA-PBEsol.

The structure in POSCAR format:
```
La2InPt
1.0
4.059 0.000 0.000
-2.029 3.525 -0.025
0.000 -2.274 8.373
In La Pt
1 2 1
Direct
0.500 0.000 0.000
0.736 0.471 0.706
0.264 0.529 0.294
0.000 0.000 0.500
```

## Properties
The space group is C2/m. The formation enthalpy at 0 K comes out at -659 meV/atom.

=====

A relaxed structure of La2InPt. Source: Alexandria, functional GGA-PBEsol.

The structure in POSCAR format:
```
La2InPt
1.0
3.636 0.000 0.017
0.000 3.634 0.000
-0.038 0.000 7.965
La Pt In
2 1 1
Direct
0.000 0.000 0.783
0.000 0.000 0.217
0.500 0.500 0.000
0.500 0.500 0.500
```

## Properties
The space group is P4/mmm. The formation enthalpy at 0 K comes out at -759 meV/atom.

=====

A relaxed structure of LaInPt4. Source: Alexandria, functional GGA-PBEsol.

The structure in POSCAR format:
```
LaInPt4
1.0
5.393 0.000 0.000
2.697 4.671 0.000
2.697 1.557 4.403
In Pt La
1 4 1
Direct
0.750 0.750 0.750
0.873 0.376 0.376
0.376 0.376 0.376
0.376 0.873 0.376
0.376 0.376 0.873
0.000 0.000 0.000
```

## Properties
The space group is F-43m. The formation enthalpy at 0 K comes out at -820 meV/atom.

=====

A relaxed structure of LaInPt2. Source: Alexandria, functional GGA-PBEsol.

The structure in POSCAR format:
```
LaInPt2
1.0
-0.901 -3.070 -2.310
3.271 -1.858 1.194
-2.897 -2.359 4.265
In La Pt
1 1 2
Direct
0.000 0.000 0.423
0.500 0.500 0.812
0.000 0.000 0.943
0.500 0.500 0.321
```

## Properties
The space group is P4mm. The formation enthalpy at 0 K comes out at -656 meV/atom.

=====

A relaxed structure of LaInPt3. Source: Alexandria, functional GGA-PBEsol.

The structure in POSCAR format:
```
LaInPt3
1.0
-0.136 1.205 -4.991
4.612 -2.165 -0.648
-2.256 -4.499 -1.025
In Pt La
1 3 1
Direct
0.500 0.500 0.500
0.000 0.500 0.000
0.000 0.000 0.500
0.500 0.000 0.000
0.000 0.000 0.000
```

## Properties
The space group is Pm-3m. The formation enthalpy at 0 K comes out at 890 meV/atom.

=====

A relaxed structure of LaInPt2. Source: Alexandria, functional GGA-PBEsol.

The structure in POSCAR format:
```
LaInPt2
1.0
-2.542 -3.109 0.344
2.740 -1.933 2.774
-2.219 4.650 2.018
In La Pt
1 1 2
Direct
0.491 0.491 0.981
0.251 0.751 0.501
0.010 0.010 0.020
0.749 0.249 0.497
```

## Properties
The space group is Imm2. The formation enthalpy at 0 K comes out at -630 meV/atom.

=====

A relaxed structure of LaIn2Pt. Source: Alexandria, functional GGA-PBEsol.

The structure in POSCAR format:
```
LaIn2Pt
1.0
-0.466 0.940 3.997
-4.095 0.055 -0.555
2.025 -6.244 -0.399
In La Pt
2 1 1
Direct
0.500 0.000 0.500
0.000 0.500 0.500
0.500 0.500 0.000
0.000 0.000 0.000
```

## Properties
The space group is Fmmm. The formation enthalpy at 0 K comes out at -387 meV/atom.

=====

A relaxed structure of LaIn2Pt2. Source: Alexandria, functional GGA-PBEsol.

The structure in POSCAR format:
```
LaIn2Pt2
1.0
4.265 0.000 0.000
0.000 4.265 0.000
-2.132 -2.132 6.042
In Pt La
2 2 1
Direct
0.250 0.750 0.500
0.750 0.250 0.500
0.393 0.393 0.786
0.607 0.607 0.214
0.000 0.000 0.000
```

## Properties
The space group is I4/mmm. The formation enthalpy at 0 K comes out at -770 meV/atom.

=====

A relaxed structure of LaIn2Pt. Source: Alexandria, functional GGA-PBEsol.

The structure in POSCAR format:
```
LaIn2Pt
1.0
-3.140 0.502 -1.533
1.462 -0.532 -3.169
-1.443 -7.310 0.562
In La Pt
2 1 1
Direct
0.000 0.000 0.970
0.500 0.500 0.214
0.000 0.000 0.537
0.500 0.500 0.778
```

## Properties
The space group is P4mm. The formation enthalpy at 0 K comes out at -526 meV/atom.

=====

A relaxed structure of LaInPt2. Source: Alexandria, functional GGA-PBEsol.

The structure in POSCAR format:
```
LaInPt2
1.0
-1.532 -1.561 3.218
3.587 -2.197 0.642
2.655 4.681 1.182
La Pt In
1 2 1
Direct
0.231 0.000 0.461
0.960 0.000 0.920
0.791 0.500 0.581
0.519 0.500 0.037
```

## Properties
The space group is Amm2. The formation enthalpy at 0 K comes out at -862 meV/atom.

=====

A relaxed structure of La3InPt. Source: Alexandria, functional GGA-PBEsol.

The structure in POSCAR format:
```
La3InPt
1.0
-3.571 3.383 2.631
-3.626 -4.211 0.492
2.284 -1.395 4.895
In Pt La
1 1 3
Direct
0.500 0.500 0.500
0.000 0.000 0.000
0.000 0.500 0.000
0.000 0.000 0.500
0.500 0.000 0.000
```

## Properties
The space group is Pm-3m. The formation enthalpy at 0 K comes out at -404 meV/atom.